Record 1
# Ce2EuAl GGA-PBE optimized geometry
# DOS(E_F) in states/eV/atom: 2.0034
# ΔE to the lowest computed polymorph in meV per atom: 192.2
# Magnetization in μB per cell: 6.38
# Energy relative to the elements in eV/f.u.: 0.59
# Volume in Å³ per atom: 27.1
data_Ce2EuAl
_space_group_name_H-M_alt 'P 1'
_space_group_IT_number 1
_space_group_name_Hall 'P 1'
_cell_length_a 3.258
_cell_length_b 3.258
_cell_length_c 11.965
_cell_angle_alpha 82.18
_cell_angle_beta 82.18
_cell_angle_gamma 60.00
loop_
_atom_site_label
_atom_site_type_symbol
_atom_site_fract_x
_atom_site_fract_y
_atom_site_fract_z
Eu1 Eu 0.000 0.000 0.000
Al1 Al 0.500 0.500 0.500
Ce1 Ce 0.094 0.094 0.717
Ce2 Ce 0.906 0.906 0.283

Record 2
# Tb2Nd4Sc3 GGA-PBE optimized geometry
# DOS(E_F) in states/eV/atom: 1.4499
# Magnetization in μB per cell: 0.00
# Energy relative to the elements in eV/f.u.: 0.45
# Volume in Å³ per atom: 30.7
data_Tb2Nd4Sc3
_space_group_name_H-M_alt 'P 1'
_space_group_IT_number 1
_space_group_name_Hall 'P 1'
_cell_length_a 5.013
_cell_length_b 6.052
_cell_length_c 10.501
_cell_angle_alpha 73.73
_cell_angle_beta 90.00
_cell_angle_gamma 65.55
loop_
_atom_site_label
_atom_site_type_symbol
_atom_site_fract_x
_atom_site_fract_y
_atom_site_fract_z
Tb1 Tb 0.330 0.340 0.772
Tb2 Tb 0.670 0.660 0.228
Nd1 Nd 0.666 0.669 0.887
Nd2 Nd 0.006 0.988 0.336
Nd3 Nd 0.994 0.012 0.664
Nd4 Nd 0.334 0.331 0.113
Sc1 Sc 0.336 0.328 0.449
Sc2 Sc 0.000 0.000 0.000
Sc3 Sc 0.664 0.672 0.551

Record 3
# SnTe2Pb GGA-PBE optimized geometry
# DOS(E_F) in states/eV/atom: 0.0000
# Magnetization in μB per cell: 0.00
# Uncorrected formation energy in eV/atom: -0.1272
# Volume in Å³ per atom: 47.9
data_SnTe2Pb
_space_group_name_H-M_alt 'P 1'
_space_group_IT_number 1
_space_group_name_Hall 'P 1'
_cell_length_a 7.285
_cell_length_b 7.285
_cell_length_c 8.867
_cell_angle_alpha 65.74
_cell_angle_beta 65.74
_cell_angle_gamma 90.00
loop_
_atom_site_label
_atom_site_type_symbol
_atom_site_fract_x
_atom_site_fract_y
_atom_site_fract_z
Pb1 Pb 0.000 0.000 0.000
Pb2 Pb 0.750 0.250 0.500
Te1 Te 0.617 0.125 0.250
Te2 Te 0.133 0.625 0.250
Te3 Te 0.375 0.383 0.750
Te4 Te 0.875 0.867 0.750
Sn1 Sn 0.500 0.500 0.000
Sn2 Sn 0.250 0.750 0.500